DFT (PBE) results for a geometry-optimized Ba2NpS4 structure.

Volume, Å³/f.u.: 210
E_form (uncorrected), eV/atom: -1.77
Total DFT energy (no corrections), eV per atom: -6.523
Energy above the most stable polymorph in this dataset, eV/atom: 0.000
Spin magnetization, μB/cell: 6.0

a = 7.759 Å, b = 12.510 Å, c = 4.328 Å
α = 90.00°, β = 90.00°, γ = 90.00°
Space group Pbam (No. 55)
Inequivalent atoms, fractional coordinates:
Ba: 0.079 0.180 0.000
Np: 0.000 0.500 0.500
S: 0.132 0.695 0.500
S: 0.212 0.450 0.000